Below is a geometry-optimized CoHgPO structure, with properties calculated at the GGA+U level.

The structure in POSCAR format:
```
CoHgPO
1.0
4.0000 0.0000 0.0000
0.0000 4.0000 0.0000
0.0000 0.0000 7.3353
O Co Hg P
2 2 2 2
Direct
0.5000 0.5000 0.0000 O
0.0000 0.0000 0.0000 O
0.5000 0.5000 0.5000 Co
0.0000 0.0000 0.5000 Co
0.5000 0.0000 0.8504 Hg
0.0000 0.5000 0.1496 Hg
0.0000 0.5000 0.6275 P
0.5000 0.0000 0.3725 P
```

Summary:
- Energy above the lowest structure with this stoichiometry: 1.35 eV/f.u.
- M_tot: 1.04 Bohr magnetons per cell